Entry 1:
Material: Cs2SrY
Method: DFT, PBE
State: optimized geometry

## Properties
Mass density ... 2850 kg/m3
E ... -1.71 eV/atom
Calculated formation energy ... 0.75 eV/atom
SG ... I-42d, No. 122

Unit cell a=11.407 b=11.407 c=8.986 alpha=50.60 beta=50.60 gamma=90.00
Site moments in Bohr magnetons follow the coordinates.
Sites, in units of the cell vectors:
Cs1 0.638 0.125 0.250  0.03
Cs2 0.875 0.888 0.750  0.03
Cs3 0.112 0.625 0.250  0.03
Sr1 0.250 0.750 0.500  0.06
Cs4 0.375 0.362 0.750  0.03
Sr2 0.500 0.500 0.000  0.07
Y1 0.750 0.250 0.500  0.54
Y2 0.000 0.000 0.000  0.54

***

Entry 2:
Material: PmEr2Cd
Method: DFT, PBE
State: optimized geometry

## Properties
Mass density ... 8175 kg/m3
E ... -3.75 eV/atom
Calculated formation energy ... -0.06 eV/atom
SG ... R3m, No. 160

Unit cell a=3.598 b=3.598 c=10.923 alpha=80.52 beta=80.52 gamma=60.00
Sites, in units of the cell vectors:
Pm1 0.500 0.500 0.500
Cd1 0.666 0.666 0.001
Er1 0.076 0.076 0.771
Er2 0.257 0.257 0.228

***

Entry 3:
Material: Nb2MoPt8
Method: DFT, PBE
State: optimized geometry

## Properties
Mass density ... 16383 kg/m3
E ... -7.47 eV/atom
Calculated formation energy ... -0.26 eV/atom
SG ... C2/m, No. 12

Unit cell a=5.188 b=5.754 c=7.335 alpha=112.57 beta=110.14 gamma=91.35
Sites, in units of the cell vectors:
Pt1 0.720 0.220 0.439
Nb1 0.305 0.305 0.610
Nb2 0.695 0.695 0.390
Pt2 0.724 0.392 0.000
Pt3 0.004 0.102 0.777
Mo1 0.500 0.000 0.000
Pt4 0.276 0.608 0.000
Pt5 0.227 0.324 0.223
Pt6 0.996 0.898 0.223
Pt7 0.773 0.676 0.777
Pt8 0.280 0.780 0.561

***

Entry 4:
Material: K5Pa2I12
Method: DFT, PBE
State: optimized geometry

## Properties
Mass density ... 3755 kg/m3
E ... -3.43 eV/atom
SG ... C2/m, No. 12

Unit cell a=9.005 b=10.995 c=11.453 alpha=109.31 beta=90.00 gamma=114.17
Site moments in Bohr magnetons follow the coordinates.
Sites, in units of the cell vectors:
I1 0.583 0.682 0.942  -0.02
I2 0.099 0.682 0.942  -0.02
I3 0.022 0.043 0.192  -0.02
I4 0.518 0.036 0.208  -0.02
K1 0.000 0.000 0.500  0.00
K2 0.677 0.354 0.796  0.00
Pa1 0.737 0.000 0.000  1.42
I5 0.482 0.964 0.792  -0.02
I6 0.901 0.318 0.058  -0.02
Pa2 0.263 0.000 0.000  1.42
K3 0.278 0.556 0.589  0.00
K4 0.722 0.444 0.411  0.00
I7 0.607 0.715 0.441  0.00
I8 0.108 0.715 0.441  0.00
K5 0.323 0.646 0.204  0.00
I9 0.417 0.318 0.058  -0.02
I10 0.393 0.285 0.559  0.00
I11 0.892 0.285 0.559  0.00
I12 0.978 0.957 0.808  -0.02

***

Entry 5:
Material: Er4Ge2Te
Method: DFT, PBE
State: optimized geometry

## Properties
Mass density ... 6930 kg/m3
E ... -5.10 eV/atom
SG ... I4_1/amd, No. 141

Unit cell a=8.609 b=8.609 c=8.609 alpha=119.95 beta=119.98 gamma=90.06
Sites, in units of the cell vectors:
Er1 0.395 0.606 0.789
Er2 0.394 0.605 0.211
Ge1 0.125 0.375 0.750
Er3 0.855 0.144 0.711
Ge2 0.625 0.375 0.750
Te1 0.000 0.000 0.000
Er4 0.433 0.144 0.289
Te2 0.250 0.750 0.500
Ge3 0.625 0.875 0.250
Er5 0.856 0.567 0.711
Er6 0.394 0.183 0.789
Er7 0.856 0.145 0.289
Ge4 0.625 0.375 0.250
Er8 0.817 0.606 0.211

***

Entry 6:
Material: LiPmThAl
Method: DFT, PBE
State: optimized geometry

## Properties
Mass density ... 6679 kg/m3
E ... -4.56 eV/atom
Calculated formation energy ... -0.11 eV/atom
SG ... F-43m, No. 216

Unit cell a=5.248 b=5.248 c=5.248 alpha=60.00 beta=60.00 gamma=60.00
Sites, in units of the cell vectors:
Pm1 0.250 0.250 0.250
Li1 0.000 0.000 0.000
Al1 0.500 0.500 0.500
Th1 0.750 0.750 0.750